Record 1
Computed, not measured: an optimized crystal structure of BaZrMoN4 at the PBE level of DFT.

Geometry as CIF:
```
data_BaZrMoN4
_chemical_formula_sum 'Ba2 Zr2 Mo2 N8'
_cell_length_a 5.818
_cell_length_b 5.929
_cell_length_c 7.414
_cell_angle_alpha 90.00
_cell_angle_beta 108.00
_cell_angle_gamma 90.00
_symmetry_space_group_name_H-M 'P 1 21/m 1'
_symmetry_Int_Tables_number 11
loop_
_symmetry_equiv_pos_as_xyz
'x,y,z'
'-x,-y,-z'
'-x,y+1/2,-z'
'x,-y+1/2,z'
loop_
_atom_site_label
_atom_site_fract_x
_atom_site_fract_y
_atom_site_fract_z
Ba1 0.229 0.250 0.438
Zr1 0.322 0.250 0.963
Mo1 0.221 0.750 0.152
N1 0.000 0.250 0.077
N2 0.020 0.750 0.306
N3 0.453 0.512 0.177
```

## Properties
ρ = 5.19 g/cm³
Crystal system = monoclinic
Final energy = -8.653 eV per atom

Record 2
Computed, not measured: an optimized crystal structure of Ba3NaMo at the PBE level of DFT.

Geometry as CIF:
```
data_Ba3NaMo
_chemical_formula_sum 'Ba3 Na1 Mo1'
_cell_length_a 6.123
_cell_length_b 6.123
_cell_length_c 6.123
_cell_angle_alpha 90.00
_cell_angle_beta 90.00
_cell_angle_gamma 90.00
_symmetry_space_group_name_H-M 'P m -3 m'
_symmetry_Int_Tables_number 221
_symmetry_space_group_name_Hall '-P 4 2 3'
loop_
_atom_site_label
_atom_site_fract_x
_atom_site_fract_y
_atom_site_fract_z
Ba1 0.000 0.000 0.500
Na1 0.500 0.500 0.500
Mo1 0.000 0.000 0.000
```

## Properties
ρ = 3.84 g/cm³
Energy of formation from the pure elements = 0.62 eV per atom
Crystal system = cubic
Final energy = -2.968 eV per atom

Record 3
Computed, not measured: an optimized crystal structure of Ba2NaMo at the PBE level of DFT.

Geometry as CIF:
```
data_Ba2NaMo
_chemical_formula_sum 'Ba8 Na4 Mo4'
_cell_length_a 8.495
_cell_length_b 8.495
_cell_length_c 8.495
_cell_angle_alpha 90.00
_cell_angle_beta 90.00
_cell_angle_gamma 90.00
_symmetry_space_group_name_H-M 'F m -3 m'
_symmetry_Int_Tables_number 225
_symmetry_space_group_name_Hall '-F 4 2 3'
loop_
_atom_site_label
_atom_site_fract_x
_atom_site_fract_y
_atom_site_fract_z
Ba1 0.250 0.250 0.250
Na1 0.000 0.000 0.000
Mo1 0.000 0.000 0.500
```

## Properties
ρ = 4.26 g/cm³
Energy of formation from the pure elements = 0.82 eV per atom
Crystal system = cubic
Final energy = -3.182 eV per atom

Record 4
Computed, not measured: an optimized crystal structure of Ba2NaMo at the PBE level of DFT.

Geometry as CIF:
```
data_Ba2NaMo
_chemical_formula_sum 'Ba8 Na4 Mo4'
_cell_length_a 9.455
_cell_length_b 9.455
_cell_length_c 7.104
_cell_angle_alpha 90.00
_cell_angle_beta 90.00
_cell_angle_gamma 90.00
_symmetry_space_group_name_H-M 'I -4 2 d'
_symmetry_Int_Tables_number 122
_symmetry_space_group_name_Hall 'I -4 2bw'
loop_
_atom_site_label
_atom_site_fract_x
_atom_site_fract_y
_atom_site_fract_z
Ba1 0.134 0.250 0.125
Na1 0.000 0.000 0.500
Mo1 0.000 0.000 0.000
```

## Properties
ρ = 4.12 g/cm³
Energy of formation from the pure elements = 1.13 eV per atom
Crystal system = tetragonal
Final energy = -2.871 eV per atom

- Among the records above, which one has the lowest final energy?
  BaZrMoN4

Copy entry 2 word for word.
Computed, not measured: an optimized crystal structure of Ba3NaMo at the PBE level of DFT.

Geometry as CIF:
```
data_Ba3NaMo
_chemical_formula_sum 'Ba3 Na1 Mo1'
_cell_length_a 6.123
_cell_length_b 6.123
_cell_length_c 6.123
_cell_angle_alpha 90.00
_cell_angle_beta 90.00
_cell_angle_gamma 90.00
_symmetry_space_group_name_H-M 'P m -3 m'
_symmetry_Int_Tables_number 221
_symmetry_space_group_name_Hall '-P 4 2 3'
loop_
_atom_site_label
_atom_site_fract_x
_atom_site_fract_y
_atom_site_fract_z
Ba1 0.000 0.000 0.500
Na1 0.500 0.500 0.500
Mo1 0.000 0.000 0.000
```

## Properties
ρ = 3.84 g/cm³
Energy of formation from the pure elements = 0.62 eV per atom
Crystal system = cubic
Final energy = -2.968 eV per atom

- Number 1 is which compound?
  BaZrMoN4